# 1
# SrV3Fe

A relaxed SrV3Fe crystal (PBE-GGA, the Alexandria database).

extended XYZ file:
```
5
Lattice="4.6028 0.0000 0.0000 0.0000 4.6028 0.0000 0.0000 0.0000 4.6028" Properties=species:S:1:pos:R:3 pbc="T T T"
Sr 0.0000 0.0000 0.0000
V 0.0000 2.3014 2.3014
V 2.3014 0.0000 2.3014
V 2.3014 2.3014 0.0000
Fe 2.3014 2.3014 2.3014
```

- Crystal system: cubic
- VASP energy: -33.8 eV for the cell shown
- Total magnetic moment: 5.36 μB per formula unit
- Polymorph energy (0 for the lowest one): 0.0 kJ per mole of atoms
- Space-group type: Pm-3m, No. 221
- ρ: 5.0 g/cm3

***

# 2
# PmSm6Er2

A relaxed PmSm6Er2 crystal (PBE-GGA, the Alexandria database).

extended XYZ file:
```
9
Lattice="9.3582 -1.8039 0.0000 9.3582 1.8039 0.0000 -0.0371 0.0000 8.8227" Properties=species:S:1:pos:R:3 pbc="T T T"
Pm 0.0000 0.0000 0.0000
Sm 2.0287 0.0000 5.8646
Sm 4.1264 0.0000 2.9524
Sm 6.2436 0.0000 0.0061
Sm 12.4357 0.0000 8.8165
Sm 14.5528 0.0000 5.8703
Sm 16.6506 0.0000 2.9581
Er 8.3002 0.0000 5.8766
Er 10.3791 0.0000 2.9461
```

- Crystal system: monoclinic
- VASP energy: -42.0 eV for the cell shown
- Total magnetic moment: 0.00 μB per formula unit
- Polymorph energy (0 for the lowest one): 0.0 kJ per mole of atoms
- Space-group type: C2/m, No. 12
- ρ: 7.7 g/cm3

***

# 3
# NpAsS3

A relaxed NpAsS3 crystal (PBE-GGA, the Alexandria database).

extended XYZ file:
```
10
Lattice="7.7519 -1.9672 0.0000 7.7519 1.9672 0.0000 -0.6773 0.0000 7.8994" Properties=species:S:1:pos:R:3 pbc="T T T"
Np 1.7548 0.0000 3.4312
Np 13.0717 0.0000 4.4682
As 6.5367 0.0000 0.5444
As 8.2897 0.0000 7.3549
S 0.0137 0.0000 5.5368
S 2.1621 0.0000 0.6985
S 4.4658 0.0000 3.0116
S 10.3607 0.0000 4.8878
S 12.6644 0.0000 7.2009
S 14.8128 0.0000 2.3625
```

- Crystal system: monoclinic
- VASP energy: -65.6 eV for the cell shown
- Total magnetic moment: 2.99 μB per formula unit
- Formation energy from raw total energies: -564 meV/atom
- Space-group type: C2/m, No. 12
- ρ: 5.6 g/cm3

***

# 4
# Li2NdCd2

A relaxed Li2NdCd2 crystal (PBE-GGA, the Alexandria database).

extended XYZ file:
```
10
Lattice="8.7163 0.0000 0.0000 0.0000 5.0387 0.0000 -2.9540 0.0000 4.9337" Properties=species:S:1:pos:R:3 pbc="T T T"
Li -0.0256 0.0000 1.2217
Li 1.4298 2.5193 3.7120
Li 4.3326 2.5193 1.2217
Li 5.7879 0.0000 3.7120
Nd -1.4770 2.5193 2.4669
Nd 2.8812 0.0000 2.4669
Cd 1.4355 2.5193 0.7786
Cd -0.0313 0.0000 4.1552
Cd 5.7937 0.0000 0.7786
Cd 4.3269 2.5193 4.1552
```

- Crystal system: monoclinic
- VASP energy: -23.2 eV for the cell shown
- Total magnetic moment: 0.00 μB per formula unit
- Polymorph energy (0 for the lowest one): 0.0 kJ per mole of atoms
- Space-group type: C2/m, No. 12
- ρ: 5.9 g/cm3

***

# 5
# Nb3PdF

A relaxed Nb3PdF crystal (PBE-GGA, the Alexandria database).

extended XYZ file:
```
5
Lattice="4.3042 0.0000 0.0000 0.0000 4.3042 0.0000 0.0000 0.0000 4.3042" Properties=species:S:1:pos:R:3 pbc="T T T"
Nb 0.0000 0.0000 2.1521
Nb 0.0000 2.1521 0.0000
Nb 2.1521 0.0000 0.0000
Pd 2.1521 2.1521 2.1521
F 0.0000 0.0000 0.0000
```

- Crystal system: cubic
- VASP energy: -37.5 eV for the cell shown
- Total magnetic moment: 0.00 μB per formula unit
- Polymorph energy (0 for the lowest one): 0.0 kJ per mole of atoms
- Formation energy from raw total energies: -52 meV/atom
- Space-group type: Pm-3m, No. 221
- ρ: 8.4 g/cm3

***

# 6
# Tl2GaIr

A relaxed Tl2GaIr crystal (PBE-GGA, the Alexandria database).

extended XYZ file:
```
16
Lattice="10.4046 0.0000 0.0000 0.0000 10.4046 0.0000 0.0000 0.0000 4.8459" Properties=species:S:1:pos:R:3 pbc="T T T"
Tl 0.0084 2.6012 0.6057
Tl 2.6012 5.2107 1.8172
Tl 2.6012 10.3963 4.2401
Tl 5.1939 2.6012 3.0287
Tl 5.2107 7.8035 3.0287
Tl 7.8035 0.0084 4.2401
Tl 7.8035 5.1939 1.8172
Tl 10.3963 7.8035 0.6057
Ga 0.0000 0.0000 2.4229
Ga 0.0000 5.2023 3.6344
Ga 5.2023 0.0000 1.2115
Ga 5.2023 5.2023 0.0000
Ir 0.0000 0.0000 0.0000
Ir 0.0000 5.2023 1.2115
Ir 5.2023 0.0000 3.6344
Ir 5.2023 5.2023 2.4229
```

- Crystal system: tetragonal
- VASP energy: -66.3 eV for the cell shown
- Total magnetic moment: 0.00 μB per formula unit
- Polymorph energy (0 for the lowest one): 0.0 kJ per mole of atoms
- Space-group type: I-42d, No. 122
- ρ: 8.5 g/cm3

***

# 7
# KW2Se

A relaxed KW2Se crystal (PBE-GGA, the Alexandria database).

extended XYZ file:
```
16
Lattice="6.6744 0.0000 0.0000 0.0000 6.6744 0.0000 0.0000 0.0000 6.6744" Properties=species:S:1:pos:R:3 pbc="T T T"
K 0.0000 0.0000 0.0000
K 0.0000 3.3372 3.3372
K 3.3372 0.0000 3.3372
K 3.3372 3.3372 0.0000
W 0.0000 0.0000 3.3372
W 0.0000 3.3372 0.0000
W 1.6686 1.6686 1.6686
W 1.6686 5.0058 5.0058
W 3.3372 0.0000 0.0000
W 3.3372 3.3372 3.3372
W 5.0058 1.6686 5.0058
W 5.0058 5.0058 1.6686
Se 1.6686 1.6686 5.0058
Se 1.6686 5.0058 1.6686
Se 5.0058 1.6686 1.6686
Se 5.0058 5.0058 5.0058
```

- Crystal system: cubic
- VASP energy: -100.8 eV for the cell shown
- Total magnetic moment: 0.00 μB per formula unit
- Formation energy from raw total energies: 1321 meV/atom
- Space-group type: F-43m, No. 216
- ρ: 10.9 g/cm3

***

# 8
# SrScCu2Au

A relaxed SrScCu2Au crystal (PBE-GGA, the Alexandria database).

extended XYZ file:
```
5
Lattice="4.9612 0.0000 0.0000 0.0000 4.9612 0.0000 0.0000 0.0000 5.2035" Properties=species:S:1:pos:R:3 pbc="T T T"
Sr 0.0000 0.0000 0.0000
Sc 2.4806 2.4806 2.6018
Cu 0.0000 2.4806 2.6018
Cu 2.4806 0.0000 2.6018
Au 2.4806 2.4806 0.0000
```

- Crystal system: tetragonal
- VASP energy: -18.9 eV for the cell shown
- Total magnetic moment: 0.00 μB per formula unit
- Space-group type: P4/mmm, No. 123
- ρ: 5.9 g/cm3

***

# 9
# Tb3PmTl4

A relaxed Tb3PmTl4 crystal (PBE-GGA, the Alexandria database).

extended XYZ file:
```
8
Lattice="5.4348 0.0000 0.0000 0.0000 5.4348 0.0000 0.0000 0.0000 7.5832" Properties=species:S:1:pos:R:3 pbc="T T T"
Tb 0.0000 0.0000 0.0000
Tb 0.0000 0.0000 3.7916
Tb 2.7174 2.7174 0.0000
Pm 2.7174 2.7174 3.7916
Tl 0.0000 2.7174 1.8674
Tl 0.0000 2.7174 5.7158
Tl 2.7174 0.0000 1.8674
Tl 2.7174 0.0000 5.7158
```

- Crystal system: tetragonal
- VASP energy: -31.0 eV for the cell shown
- Total magnetic moment: 0.00 μB per formula unit
- Polymorph energy (0 for the lowest one): 0.0 kJ per mole of atoms
- Space-group type: P4/mmm, No. 123
- ρ: 10.7 g/cm3

***

# 10
# BaAl2Si

A relaxed BaAl2Si crystal (PBE-GGA, the Alexandria database).

extended XYZ file:
```
4
Lattice="4.0188 0.0000 0.0000 0.0000 4.0188 0.0000 0.0000 0.0000 6.5002" Properties=species:S:1:pos:R:3 pbc="T T T"
Ba 0.0000 0.0000 0.0000
Al 0.0000 2.0094 3.3880
Al 2.0094 0.0000 3.3880
Si 2.0094 2.0094 1.7439
```

- Crystal system: tetragonal
- VASP energy: -15.5 eV for the cell shown
- Total magnetic moment: 0.00 μB per formula unit
- Formation energy from raw total energies: -164 meV/atom
- Space-group type: P4mm, No. 99
- ρ: 3.5 g/cm3

***

# 11
# PuPdAu4

A relaxed PuPdAu4 crystal (PBE-GGA, the Alexandria database).

extended XYZ file:
```
6
Lattice="0.0000 3.9126 3.9126 3.9126 0.0000 3.9126 3.9126 3.9126 0.0000" Properties=species:S:1:pos:R:3 pbc="T T T"
Pu 0.0000 0.0000 0.0000
Pd 1.9563 1.9563 1.9563
Au 4.8870 2.9382 2.9382
Au 2.9382 4.8870 2.9382
Au 2.9382 2.9382 4.8870
Au 4.8870 4.8870 4.8870
```

- Crystal system: cubic
- VASP energy: -34.3 eV for the cell shown
- Total magnetic moment: 5.74 μB per formula unit
- Polymorph energy (0 for the lowest one): 1.2 kJ per mole of atoms
- Space-group type: F-43m, No. 216
- ρ: 15.8 g/cm3

***

# 12
# Sr8Hg2Pt

A relaxed Sr8Hg2Pt crystal (PBE-GGA, the Alexandria database).

extended XYZ file:
```
11
Lattice="6.9270 -5.0908 0.0000 6.9270 5.0908 0.0000 -2.3588 0.0000 6.9964" Properties=species:S:1:pos:R:3 pbc="T T T"
Sr 0.4832 0.0000 2.0314
Sr 4.3551 2.0292 1.7925
Sr 3.3487 0.0000 5.2641
Sr 7.1401 2.0292 5.2039
Sr 4.3551 -2.0292 1.7925
Sr 8.1465 0.0000 1.7323
Sr 7.1401 -2.0292 5.2039
Sr 11.0120 0.0000 4.9650
Hg 0.2615 0.0000 6.4674
Hg 11.2336 0.0000 0.5290
Pt 5.7476 0.0000 3.4982
```

- Crystal system: monoclinic
- VASP energy: -24.2 eV for the cell shown
- Total magnetic moment: 0.00 μB per formula unit
- Space-group type: C2/m, No. 12
- ρ: 4.4 g/cm3

***

Q: The highest total magnetic moment belongs to which entry?
A: PuPdAu4

***

Q: Which formula does entry 1 have?
A: SrV3Fe

***

Q: What is the formula in the fifth record?
A: Nb3PdF

***

Q: Among the records above, which one has the lowest VASP energy?
A: KW2Se